Record 1
! SrAgF3 GGA-PBE relaxed; values from VASP
&SYSTEM
  ibrav = 0, nat = 5, ntyp = 3
/
ATOMIC_SPECIES
Sr 87.62 Sr.upf
F 19.00 F.upf
Ag 107.87 Ag.upf
CELL_PARAMETERS angstrom
4.529 0.000 0.000
0.000 4.529 0.000
0.000 0.000 4.529
ATOMIC_POSITIONS crystal
Sr 0.500 0.500 0.500
F 0.500 0.000 0.000
F 0.000 0.500 0.000
F 0.000 0.000 0.500
Ag 0.000 0.000 0.000
! Final energy = -0.1552 Ha/atom
! Crystal system = cubic
! Formation energy from raw total energies = -1058.6 kJ/mol of formula units
! E above lowest polymorph = 0.384 eV per atom

=====

Record 2
! LaDy12Ho6 GGA-PBE relaxed; values from VASP
&SYSTEM
  ibrav = 0, nat = 19, ntyp = 3
/
ATOMIC_SPECIES
Dy 162.50 Dy.upf
Ho 164.93 Ho.upf
La 138.91 La.upf
CELL_PARAMETERS angstrom
-6.266 3.791 4.347
-0.598 -6.606 5.342
5.570 3.551 5.375
ATOMIC_POSITIONS crystal
Dy 0.226 0.456 0.565
Dy 0.790 0.644 0.990
Dy 0.210 0.356 0.010
Dy 0.990 0.790 0.644
Dy 0.356 0.010 0.210
Dy 0.544 0.435 0.774
Dy 0.456 0.565 0.226
Dy 0.565 0.226 0.456
Dy 0.435 0.774 0.544
Dy 0.774 0.544 0.435
Dy 0.010 0.210 0.356
Dy 0.644 0.990 0.790
Ho 0.743 0.907 0.313
Ho 0.687 0.257 0.093
Ho 0.907 0.313 0.743
Ho 0.093 0.687 0.257
Ho 0.313 0.743 0.907
Ho 0.257 0.093 0.687
La 0.000 0.000 0.000
! Energy of formation from the pure elements = 0.1549 eV/atom
! Final energy = -0.1638 Ha/atom
! Crystal system = trigonal
! E above lowest polymorph = 0.000 eV per atom

=====

Record 3
! Ni3AgS GGA-PBE relaxed; values from VASP
&SYSTEM
  ibrav = 0, nat = 5, ntyp = 3
/
ATOMIC_SPECIES
Ni 58.69 Ni.upf
S 32.06 S.upf
Ag 107.87 Ag.upf
CELL_PARAMETERS angstrom
4.143 0.000 0.000
0.000 4.143 0.000
0.000 0.000 4.143
ATOMIC_POSITIONS crystal
Ni 0.000 0.500 0.000
Ni 0.000 0.000 0.500
Ni 0.500 0.000 0.000
S 0.000 0.000 0.000
Ag 0.500 0.500 0.500
! Final energy = -0.1780 Ha/atom
! Crystal system = cubic
! Formation energy from raw total energies = 9.7 kJ/mol of formula units
! E above lowest polymorph = 0.000 eV per atom

=====

Record 4
! RuW2Br GGA-PBE relaxed; values from VASP
&SYSTEM
  ibrav = 0, nat = 4, ntyp = 3
/
ATOMIC_SPECIES
W 183.84 W.upf
Br 79.90 Br.upf
Ru 101.07 Ru.upf
CELL_PARAMETERS angstrom
-2.751 -1.372 -4.247
-0.950 -5.095 -0.792
-0.434 3.440 3.933
ATOMIC_POSITIONS crystal
W 0.500 0.500 0.000
W 0.000 0.000 0.000
Br 0.250 0.750 0.500
Ru 0.750 0.250 0.500
! Final energy = -0.2956 Ha/atom
! Crystal system = tetragonal
! Formation energy from raw total energies = 452.0 kJ/mol of formula units
! E above lowest polymorph = 0.681 eV per atom

=====

Record 5
! TaCuB2 GGA-PBE relaxed; values from VASP
&SYSTEM
  ibrav = 0, nat = 4, ntyp = 3
/
ATOMIC_SPECIES
Cu 63.55 Cu.upf
B 10.81 B.upf
Ta 180.95 Ta.upf
CELL_PARAMETERS angstrom
0.000 2.764 2.764
2.764 0.000 2.764
2.764 2.764 0.000
ATOMIC_POSITIONS crystal
Cu 0.000 0.000 0.000
B 0.750 0.750 0.750
B 0.250 0.250 0.250
Ta 0.500 0.500 0.500
! Energy of formation from the pure elements = 0.5357 eV/atom
! Final energy = -0.2495 Ha/atom
! Crystal system = cubic

=====

Record 6
! LiPdPt GGA-PBE relaxed; values from VASP
&SYSTEM
  ibrav = 0, nat = 6, ntyp = 3
/
ATOMIC_SPECIES
Pt 195.08 Pt.upf
Pd 106.42 Pd.upf
Li 6.94 Li.upf
CELL_PARAMETERS angstrom
-2.401 -0.925 -4.087
1.545 -3.491 2.958
-3.620 1.462 2.560
ATOMIC_POSITIONS crystal
Pt 0.425 0.575 0.250
Pt 0.575 0.425 0.750
Pd 0.749 0.251 0.250
Pd 0.251 0.749 0.750
Li 0.089 0.911 0.250
Li 0.911 0.089 0.750
! Energy of formation from the pure elements = -0.3531 eV/atom
! Final energy = -0.1740 Ha/atom
! Crystal system = monoclinic
! E above lowest polymorph = 0.073 eV per atom

=====

Record 7
! Tl2BiPb3 GGA-PBE relaxed; values from VASP
&SYSTEM
  ibrav = 0, nat = 12, ntyp = 3
/
ATOMIC_SPECIES
Tl 204.38 Tl.upf
Pb 207.20 Pb.upf
Bi 208.98 Bi.upf
CELL_PARAMETERS angstrom
6.777 0.000 0.000
0.000 11.197 0.000
0.000 -5.598 5.122
ATOMIC_POSITIONS crystal
Tl 0.250 0.569 0.664
Tl 0.750 0.431 0.336
Tl 0.250 0.905 0.336
Tl 0.750 0.095 0.664
Pb 0.000 0.163 0.326
Pb 0.500 0.163 0.326
Pb 0.500 0.837 0.674
Pb 0.000 0.500 0.000
Pb 0.500 0.500 0.000
Pb 0.000 0.837 0.674
Bi 0.250 0.225 0.000
Bi 0.750 0.775 0.000
! Energy of formation from the pure elements = 0.0390 eV/atom
! Final energy = -0.1195 Ha/atom
! Crystal system = orthorhombic
! E above lowest polymorph = 0.031 eV per atom

=====

Record 8
! Rb3IBr6 GGA-PBE relaxed; values from VASP
&SYSTEM
  ibrav = 0, nat = 10, ntyp = 3
/
ATOMIC_SPECIES
Br 79.90 Br.upf
Rb 85.47 Rb.upf
I 126.90 I.upf
CELL_PARAMETERS angstrom
8.317 0.000 0.000
0.000 8.317 0.000
4.158 4.158 7.105
ATOMIC_POSITIONS crystal
Br 0.773 0.773 0.000
Br 0.731 0.731 0.538
Br 0.227 0.227 0.000
Br 0.269 0.269 0.462
Br 0.773 0.227 0.000
Br 0.227 0.773 0.000
Rb 0.250 0.750 0.500
Rb 0.750 0.250 0.500
Rb 0.500 0.500 0.000
I 0.000 0.000 0.000
! Final energy = -0.0875 Ha/atom
! Crystal system = tetragonal
! Formation energy from raw total energies = -899.2 kJ/mol of formula units
! E above lowest polymorph = 0.135 eV per atom